(1)
A relaxed structure of Pd2RuCl. Source: Alexandria, functional GGA-PBE.

Unit cell a=7.1609 b=7.1609 c=5.3286 alpha=90.00 beta=90.00 gamma=90.00
Closest atoms and distances in Å follow each position.
Space group I-42d (No. 122)
One atom of each set of equivalent atoms:
Pd (0.2444, 0.2500, 0.1250) (multiplicity 8)  2 Cl 2.59, 2 Ru 2.65, 2 Pd 2.67
Ru (0.0000, 0.0000, 0.5000) (multiplicity 4)  4 Pd 2.65, 2 Cl 2.66
Cl (0.0000, 0.0000, 0.0000) (multiplicity 4)  4 Pd 2.59, 2 Ru 2.66

---

(2)
A relaxed structure of PdRuCl2. Source: Alexandria, functional GGA-PBE.

Unit cell a=3.5133 b=3.5133 c=21.8976 alpha=90.00 beta=90.00 gamma=120.00
Closest atoms and distances in Å follow each position.
Space group R-3m (No. 166, hexagonal axes)
One atom of each set of equivalent atoms:
Pd (0.0000, 0.0000, 0.0000) (multiplicity 3)  2 Cl 2.35
Ru (0.0000, 0.0000, 0.5000) (multiplicity 3)  6 Cl 2.41
Cl (0.0000, 0.0000, 0.1072) (multiplicity 6)  1 Pd 2.35, 3 Ru 2.41

---

(3)
A relaxed structure of Pd3RuCl. Source: Alexandria, functional GGA-PBE.

Unit cell a=4.8194 b=4.8194 c=4.8194 alpha=90.00 beta=90.00 gamma=90.00
Closest atoms and distances in Å follow each position.
Space group Pm-3m (No. 221)
One atom of each set of equivalent atoms:
Pd (0.0000, 0.0000, 0.5000) (multiplicity 3)  2 Ru 2.41
Ru (0.0000, 0.0000, 0.0000) (multiplicity 1)  6 Pd 2.41
Cl (0.5000, 0.5000, 0.5000) (multiplicity 1)  12 Pd 3.41

---

(4)
A relaxed structure of Pd2RuCl. Source: Alexandria, functional GGA-PBE.

Unit cell a=6.4231 b=6.4231 c=6.4231 alpha=90.00 beta=90.00 gamma=90.00
Closest atoms and distances in Å follow each position.
Space group Fm-3m (No. 225)
One atom of each set of equivalent atoms:
Pd (0.2500, 0.2500, 0.2500) (multiplicity 8)  4 Cl 2.78, 4 Ru 2.78
Ru (0.0000, 0.0000, 0.0000) (multiplicity 4)  8 Pd 2.78
Cl (0.0000, 0.0000, 0.5000) (multiplicity 4)  8 Pd 2.78

---

(5)
A relaxed structure of PdRuS2Cl. Source: Alexandria, functional GGA-PBE.

Unit cell a=4.7048 b=4.7048 c=4.7556 alpha=90.00 beta=90.00 gamma=90.00
Closest atoms and distances in Å follow each position.
Space group P4/mmm (No. 123)
One atom of each set of equivalent atoms:
Pd (0.0000, 0.0000, 0.0000) (multiplicity 1)  4 S 2.35, 2 Cl 2.38
Ru (0.5000, 0.5000, 0.5000) (multiplicity 1)  4 Cl 3.33, 8 S 3.34
S (0.0000, 0.5000, 0.0000) (multiplicity 2)  2 Pd 2.35
Cl (0.0000, 0.0000, 0.5000) (multiplicity 1)  2 Pd 2.38

---

(6)
A relaxed structure of PdRuS2Cl. Source: Alexandria, functional GGA-PBE.

Unit cell a=4.5128 b=4.5128 c=4.9970 alpha=90.00 beta=90.00 gamma=90.00
Closest atoms and distances in Å follow each position.
Space group P4/mmm (No. 123)
One atom of each set of equivalent atoms:
Pd (0.0000, 0.0000, 0.0000) (multiplicity 1)  4 Cl 3.19, 8 S 3.37
Ru (0.5000, 0.5000, 0.5000) (multiplicity 1)  4 S 2.26, 2 Cl 2.50
S (0.0000, 0.5000, 0.5000) (multiplicity 2)  2 Ru 2.26
Cl (0.5000, 0.5000, 0.0000) (multiplicity 1)  2 Ru 2.50

---

(7)
A relaxed structure of PdRuSCl2. Source: Alexandria, functional GGA-PBE.

Unit cell a=4.9343 b=4.9343 c=4.3731 alpha=90.00 beta=90.00 gamma=90.00
Closest atoms and distances in Å follow each position.
Space group P4/mmm (No. 123)
One atom of each set of equivalent atoms:
Pd (0.0000, 0.0000, 0.0000) (multiplicity 1)  8 Cl 3.30, 4 S 3.49
Ru (0.5000, 0.5000, 0.5000) (multiplicity 1)  2 S 2.19
S (0.5000, 0.5000, 0.0000) (multiplicity 1)  2 Ru 2.19
Cl (0.0000, 0.5000, 0.5000) (multiplicity 2)  2 Ru 2.47

---

(8)
A relaxed structure of PdRuSCl2. Source: Alexandria, functional GGA-PBE.

Unit cell a=4.7718 b=4.7718 c=4.7947 alpha=90.00 beta=90.00 gamma=90.00
Closest atoms and distances in Å follow each position.
Space group P4/mmm (No. 123)
One atom of each set of equivalent atoms:
Pd (0.0000, 0.0000, 0.0000) (multiplicity 1)  4 Cl 2.39, 2 S 2.40
Ru (0.5000, 0.5000, 0.5000) (multiplicity 1)  4 S 3.37, 8 Cl 3.38
S (0.0000, 0.0000, 0.5000) (multiplicity 1)  2 Pd 2.40
Cl (0.0000, 0.5000, 0.0000) (multiplicity 2)  2 Pd 2.39

---

(9)
A relaxed structure of ScPd2RuCl. Source: Alexandria, functional GGA-PBE.

Unit cell a=4.4807 b=4.4807 c=4.6551 alpha=90.00 beta=90.00 gamma=90.00
Closest atoms and distances in Å follow each position.
Space group P4/mmm (No. 123)
One atom of each set of equivalent atoms:
Sc (0.0000, 0.0000, 0.0000) (multiplicity 1)  2 Cl 2.33
Pd (0.0000, 0.5000, 0.5000) (multiplicity 2)  2 Cl 2.24
Ru (0.5000, 0.5000, 0.0000) (multiplicity 1)  4 Sc 3.17, 8 Pd 3.23
Cl (0.0000, 0.0000, 0.5000) (multiplicity 1)  4 Pd 2.24, 2 Sc 2.33

---

(10)
A relaxed structure of SnPdRuCl2. Source: Alexandria, functional GGA-PBE.

Unit cell a=5.3323 b=5.3323 c=5.1518 alpha=90.00 beta=90.00 gamma=90.00
Closest atoms and distances in Å follow each position.
Space group P4/mmm (No. 123)
One atom of each set of equivalent atoms:
Sn (0.0000, 0.0000, 0.0000) (multiplicity 1)  2 Pd 2.58, 4 Cl 2.67
Pd (0.0000, 0.0000, 0.5000) (multiplicity 1)  2 Sn 2.58
Ru (0.5000, 0.5000, 0.5000) (multiplicity 1)  8 Cl 3.71, 4 Pd 3.77
Cl (0.0000, 0.5000, 0.0000) (multiplicity 2)  2 Sn 2.67

---

Number 1: uncorrected energy -4.72 eV/atom, Fermi-level density of states 2.0 states/eV/f.u., formation energy (no corrections) 656 meV/atom. Number 2: uncorrected energy -4.34 eV/atom, Fermi-level density of states 0.1 states/eV/f.u., formation energy (no corrections) 205 meV/atom. Number 3: uncorrected energy -4.21 eV/atom, Fermi-level density of states 7.7 states/eV/f.u., formation energy (no corrections) 1129 meV/atom. Number 4: uncorrected energy -4.64 eV/atom, Fermi-level density of states 5.0 states/eV/f.u., formation energy (no corrections) 734 meV/atom. Number 5: uncorrected energy -4.02 eV/atom, Fermi-level density of states 4.9 states/eV/f.u., formation energy (no corrections) 897 meV/atom. Number 6: uncorrected energy -4.44 eV/atom, Fermi-level density of states 7.4 states/eV/f.u., formation energy (no corrections) 475 meV/atom. Number 7: uncorrected energy -4.12 eV/atom, Fermi-level density of states 8.8 states/eV/f.u., formation energy (no corrections) 341 meV/atom. Number 8: uncorrected energy -3.72 eV/atom, Fermi-level density of states 7.6 states/eV/f.u., formation energy (no corrections) 734 meV/atom. Number 9: uncorrected energy -5.17 eV/atom, Fermi-level density of states 3.0 states/eV/f.u., formation energy (no corrections) 394 meV/atom. Number 10: uncorrected energy -3.58 eV/atom, Fermi-level density of states 4.8 states/eV/f.u., formation energy (no corrections) 849 meV/atom.